Computed, not measured: YHgB2Cl at its PBEsol-relaxed geometry at the meta-GGA SCAN level of DFT.

Density of states at the Fermi level = 3.1 states/eV per cell
ρ = 5.8 g cm⁻³

a = 4.0874 Å, b = 4.0874 Å, c = 5.9905 Å
α = 90.00°, β = 90.00°, γ = 90.00°
Atoms (fractional coordinates):
Hg: 0.0000 0.0000 0.0000
Y: 0.0000 0.0000 0.5000
Cl: 0.5000 0.5000 0.5000
B: 0.5000 0.0000 0.0000
B: 0.0000 0.5000 0.0000

Computed, not measured: BICl3 at its PBEsol-relaxed geometry at the meta-GGA SCAN level of DFT.

Density of states at the Fermi level = 4.2 states/eV per cell
ρ = 2.6 g cm⁻³

a = 5.4163 Å, b = 5.4163 Å, c = 5.4163 Å
α = 90.00°, β = 90.00°, γ = 90.00°
Last column: magnetic moment on the atom in μB.
Atoms (fractional coordinates):
I: 0.0000 0.0000 0.0000  0.01
Cl: 0.5000 0.0000 0.0000  0.00
Cl: 0.0000 0.5000 0.0000  0.00
Cl: 0.0000 0.0000 0.5000  0.00
B: 0.5000 0.5000 0.5000  0.19

Computed, not measured: BICl2 at its PBEsol-relaxed geometry at the meta-GGA SCAN level of DFT.

Density of states at the Fermi level = 6.0 states/eV per cell
ρ = 3.7 g cm⁻³

a = 6.4284 Å, b = 6.4284 Å, c = 6.4284 Å
α = 60.00°, β = 60.00°, γ = 60.00°
Last column: magnetic moment on the atom in μB.
Atoms (fractional coordinates):
Cl: 0.6250 0.1250 0.1250  0.01
Cl: 0.1250 0.1250 0.6250  0.01
Cl: 0.1250 0.1250 0.1250  0.01
Cl: 0.1250 0.6250 0.1250  0.01
B: 0.2500 0.2500 0.2500  0.00
B: 0.0000 0.0000 0.0000  0.00
I: 0.7500 0.7500 0.7500  0.44
I: 0.5000 0.5000 0.5000  0.44

Computed, not measured: BI2NCl at its PBEsol-relaxed geometry at the meta-GGA SCAN level of DFT.

Density of states at the Fermi level = 1.4 states/eV per cell
ρ = 3.8 g cm⁻³

a = 3.2566 Å, b = 6.5307 Å, c = 6.5307 Å
α = 90.00°, β = 90.00°, γ = 90.00°
Atoms (fractional coordinates):
Cl: 0.0000 0.0000 0.0000
N: 0.5000 0.0000 0.0000
I: 0.0000 0.5000 0.0000
I: 0.0000 0.0000 0.5000
B: 0.5000 0.5000 0.5000

Computed, not measured: InB2Cl at its PBEsol-relaxed geometry at the meta-GGA SCAN level of DFT.

ρ = 4.3 g cm⁻³

a = 5.1167 Å, b = 5.1167 Å, c = 6.2547 Å
α = 114.14°, β = 114.14°, γ = 90.00°
Atoms (fractional coordinates):
B: 0.1250 0.1397 0.7500
B: 0.6250 0.6103 0.7500
B: 0.8603 0.3750 0.2500
B: 0.3897 0.8750 0.2500
Cl: 0.7500 0.2500 0.5000
Cl: 0.5000 0.5000 0.0000
In: 0.2500 0.7500 0.5000
In: 0.0000 0.0000 0.0000

Computed, not measured: BIrCl2 at its PBEsol-relaxed geometry at the meta-GGA SCAN level of DFT.

Density of states at the Fermi level = 2.0 states/eV per cell
E above lowest polymorph = 0.0000 eV per atom
ρ = 6.9 g cm⁻³

a = 2.8574 Å, b = 2.8574 Å, c = 9.4177 Å
α = 81.27°, β = 81.27°, γ = 60.00°
Last column: magnetic moment on the atom in μB.
Atoms (fractional coordinates):
Cl: 0.9404 0.9404 0.1787  -0.01
Cl: 0.0596 0.0596 0.8213  -0.01
B: 0.0000 0.0000 0.0000  -0.04
Ir: 0.5000 0.5000 0.5000  0.92

Number 1: uncorrected formation energy 0.630 eV per atom. Number 2: uncorrected formation energy 1.037 eV per atom. Number 3: uncorrected formation energy 0.258 eV per atom. Number 4: uncorrected formation energy 1.977 eV per atom. Number 5: uncorrected formation energy 1.214 eV per atom. Number 6: uncorrected formation energy 0.919 eV per atom.